# 1
! PmHoZnRu (PBE, optimized geometry); values from VASP
&SYSTEM
  ibrav = 0, nat = 4, ntyp = 4
/
ATOMIC_SPECIES
Pm 145.00 Pm.upf
Ho 164.93 Ho.upf
Zn 65.41 Zn.upf
Ru 101.07 Ru.upf
CELL_PARAMETERS angstrom
0.000 3.515 3.515
3.515 0.000 3.515
3.515 3.515 0.000
ATOMIC_POSITIONS angstrom
Pm 0.000 0.000 0.000
Ho 3.515 3.515 3.515
Zn 5.272 5.272 5.272
Ru 1.757 1.757 1.757
! E_form (eV/atom): -0.3046
! Polymorph energy (0 for the lowest one) (meV/atom): 0.0
! ρ (kg/m³): 9108
! Spin magnetization (μB per cell): 0.0

***

# 2
! PmHoS3 (PBE, optimized geometry); values from VASP
&SYSTEM
  ibrav = 0, nat = 10, ntyp = 3
/
ATOMIC_SPECIES
Pm 145.00 Pm.upf
Ho 164.93 Ho.upf
S 32.06 S.upf
CELL_PARAMETERS angstrom
3.502 2.022 6.218
-3.502 2.022 6.218
0.000 -4.044 6.218
ATOMIC_POSITIONS angstrom
Pm 0.000 0.000 2.704
Pm 0.000 0.000 15.950
Ho 0.000 0.000 6.501
Ho 0.000 0.000 12.153
S -1.412 -1.947 7.756
S -2.392 0.250 10.897
S -0.980 2.196 7.756
S 0.980 -2.196 10.897
S 2.392 -0.250 7.756
S 1.412 1.947 10.897
! Formation energy from raw total energies (eV per atom): -2.04
! Polymorph energy (0 for the lowest one) (meV/atom): 40.5
! ρ (kg/m³): 5105
! Spin magnetization (μB per cell): 0.0